## KTiMnF6 (PBE with a Hubbard U)

Data for a relaxed KTiMnF6 crystal.

Lattice parameters (Å, degrees): 5.5788 5.5788 11.2893 90.00 90.00 120.00
Space group P-31c (No. 163)
Unique sites:
K 0.0000 0.0000 0.0000
Ti 0.3333 0.6667 0.2500
Mn 0.3333 0.6667 0.7500
F 0.0207 0.3848 0.1518

Computed properties:
Final energy = -54.8 eV/f.u.